(1)
CeHoMnAg | PBE | relaxed

Unit cell a=5.0813 b=5.0813 c=5.0813 alpha=60.00 beta=60.00 gamma=60.00
Atoms (fractional coordinates):
Ce (0.5000, 0.5000, 0.5000)
Ag (0.7500, 0.7500, 0.7500)
Mn (0.2500, 0.2500, 0.2500)
Ho (0.0000, 0.0000, 0.0000)

Properties
Crystal system   cubic
Energy of formation from the pure elements   0.2 eV/f.u.


(2)
CdCuSn2 | PBE | relaxed

Unit cell a=6.3116 b=6.8518 c=5.9793 alpha=117.68 beta=121.86 gamma=90.00
Atoms (fractional coordinates):
Sn (0.1635, 0.1806, 0.4970)
Sn (0.6665, 0.3194, 0.5030)
Sn (0.8366, 0.8194, 0.5030)
Sn (0.3335, 0.6806, 0.4970)
Cd (0.2797, 0.7500, 0.0000)
Cd (0.7203, 0.2500, 0.0000)
Cu (0.1654, 0.2500, 0.0000)
Cu (0.8346, 0.7500, 0.0000)

Properties
Crystal system   monoclinic
Energy of formation from the pure elements   0.5 eV/f.u.


(3)
PmDyHgIr | PBE | relaxed

Unit cell a=5.1044 b=5.1044 c=5.1044 alpha=60.00 beta=60.00 gamma=60.00
Atoms (fractional coordinates):
Pm (0.2500, 0.2500, 0.2500)
Ir (0.0000, 0.0000, 0.0000)
Hg (0.5000, 0.5000, 0.5000)
Dy (0.7500, 0.7500, 0.7500)

Properties
Crystal system   cubic
Energy of formation from the pure elements   -2.3 eV/f.u.


(4)
Cs2CuBi | PBE | relaxed

Unit cell a=4.9367 b=7.0118 c=7.0119 alpha=59.68 beta=69.18 gamma=69.18
Atoms (fractional coordinates):
Bi (0.2500, 0.1515, 0.3485)
Cs (0.0619, 0.8470, 0.0316)
Cs (0.4381, 0.4684, 0.6530)
Cu (0.7500, 0.0331, 0.4669)

Properties
Crystal system   monoclinic
Energy of formation from the pure elements   -0.6 eV/f.u.


(5)
PuNpAs | PBE | relaxed

Unit cell a=3.7945 b=3.9914 c=8.0697 alpha=90.00 beta=103.60 gamma=90.00
Atoms (fractional coordinates):
Np (0.2427, 0.7500, 0.4854)
Np (0.7573, 0.2500, 0.5146)
Pu (0.4577, 0.2500, 0.9154)
Pu (0.5423, 0.7500, 0.0846)
As (0.8944, 0.7500, 0.7889)
As (0.1056, 0.2500, 0.2111)

Properties
Crystal system   orthorhombic
Energy of formation from the pure elements   -0.7 eV/f.u.


(6)
YCoSe2 | PBE | relaxed

Unit cell a=3.8788 b=3.8788 c=5.7701 alpha=90.00 beta=90.00 gamma=90.00
Atoms (fractional coordinates):
Y (0.0000, 0.0000, 0.4394)
Se (0.5000, 0.5000, 0.3573)
Se (0.0000, 0.0000, 0.9087)
Co (0.5000, 0.5000, 0.7946)

Properties
Energy relative to the elements, uncorrected   -868 meV/atom
Crystal system   tetragonal